(1)
Below is a relaxed Ba4Na2Rh crystal, with properties calculated at the PBE level.

```
Ba4Na2Rh
1.0
8.0944 0.0000 0.0000
0.0000 8.5254 -3.3880
0.0000 0.4903 9.6526
Na Ba Rh
4 8 2
direct
0.7500 0.7077 0.8113 Na
0.7500 0.0184 0.6857 Na
0.2500 0.9816 0.3143 Na
0.2500 0.2923 0.1887 Na
0.7500 0.3792 0.0414 Ba
0.2500 0.6208 0.9586 Ba
0.7500 0.0204 0.2168 Ba
0.2500 0.9796 0.7832 Ba
0.0022 0.3346 0.5819 Ba
0.9978 0.6654 0.4181 Ba
0.5022 0.6654 0.4181 Ba
0.4978 0.3346 0.5819 Ba
0.7500 0.3753 0.3504 Rh
0.2500 0.6247 0.6496 Rh
```

Output
The calculation puts the offset from the most stable computed form at 0.014 eV per atom.

---

(2)
Below is a relaxed Ba4Na2Rh crystal, with properties calculated at the PBE level.

```
Ba4Na2Rh
1.0
6.0960 0.0000 0.0000
0.0000 6.0960 0.0000
-3.0480 -3.0480 9.8100
Ba Rh Na
4 1 2
direct
0.1596 0.1596 0.3192 Ba
0.0000 0.5000 0.0000 Ba
0.5000 0.0000 0.0000 Ba
0.8404 0.8404 0.6808 Ba
0.0000 0.0000 0.0000 Rh
0.3614 0.3614 0.7229 Na
0.6386 0.6386 0.2771 Na
```

Output
The calculation puts the offset from the most stable computed form at 0.000 eV per atom.

---

(3)
Below is a relaxed Ba3NaRh crystal, with properties calculated at the PBE level.

```
Ba3NaRh
1.0
6.1870 0.0000 0.0000
0.0000 6.1870 0.0000
0.0000 0.0000 6.1870
Na Rh Ba
1 1 3
direct
0.5000 0.5000 0.5000 Na
0.0000 0.0000 0.0000 Rh
0.0000 0.5000 0.0000 Ba
0.0000 0.0000 0.5000 Ba
0.5000 0.0000 0.0000 Ba
```

Output
The calculation puts the offset from the most stable computed form at 0.000 eV per atom.

---

(4)
Below is a relaxed Ba3Na3Rh crystal, with properties calculated at the PBE level.

```
Ba3Na3Rh
1.0
-7.3844 1.0729 1.1919
-4.9867 -1.6879 -5.4208
-5.1400 -12.4895 3.3502
Na Rh Ba
6 2 6
direct
0.8030 0.1326 0.6050 Na
0.4594 0.8030 0.6050 Na
0.5406 0.1970 0.3950 Na
0.1326 0.4594 0.6050 Na
0.1970 0.8674 0.3950 Na
0.8674 0.5406 0.3950 Na
0.6666 0.6666 0.0003 Rh
0.3334 0.3334 0.9997 Rh
0.9556 0.2954 0.1341 Ba
0.3851 0.0444 0.8659 Ba
0.2954 0.6149 0.1341 Ba
0.7046 0.3851 0.8659 Ba
0.6149 0.9556 0.1341 Ba
0.0444 0.7046 0.8659 Ba
```

---

(5)
Below is a relaxed Ba7NaRh2 crystal, with properties calculated at the PBE level.

```
Ba7NaRh2
1.0
-0.3403 -1.1581 -6.0343
8.8154 -3.8503 0.2417
-7.2037 -6.1779 1.5919
Ba Na Rh
7 1 2
direct
0.5000 0.9518 0.6690 Ba
0.5000 0.6690 0.9518 Ba
0.5000 0.3310 0.0482 Ba
0.0000 0.3003 0.6997 Ba
0.5000 0.5000 0.5000 Ba
0.5000 0.0482 0.3310 Ba
0.0000 0.6997 0.3003 Ba
0.0000 0.0000 0.0000 Na
0.5000 0.2999 0.7001 Rh
0.5000 0.7001 0.2999 Rh
```

---

(6)
Below is a relaxed Ba8NaRh2 crystal, with properties calculated at the PBE level.

```
Ba8NaRh2
1.0
7.5536 0.3615 0.3716
-0.1780 7.1861 -3.3713
0.9366 0.2965 9.9318
Ba Na Rh
8 1 2
direct
0.9124 0.7955 0.5909 Ba
0.0876 0.2045 0.4091 Ba
0.6105 0.3909 0.2880 Ba
0.8186 0.4232 0.8463 Ba
0.3895 0.6091 0.7120 Ba
0.3895 0.1029 0.7120 Ba
0.6105 0.8971 0.2880 Ba
0.1814 0.5768 0.1537 Ba
0.0000 0.0000 0.0000 Na
0.3088 0.7245 0.4491 Rh
0.6912 0.2755 0.5509 Rh
```

---

(7)
Below is a relaxed Ba6NaRh2 crystal, with properties calculated at the PBE level.

```
Ba6NaRh2
1.0
-6.1092 0.4390 1.1986
2.1468 -7.3618 -2.6100
2.1848 1.5865 10.5546
Na Ba Rh
1 6 2
direct
0.0000 0.0000 0.5000 Na
0.3095 0.6189 0.9263 Ba
0.3225 0.6451 0.3825 Ba
0.6905 0.3811 0.0737 Ba
0.6775 0.3549 0.6175 Ba
0.9901 0.9801 0.8163 Ba
0.0099 0.0199 0.1837 Ba
0.8241 0.6482 0.9008 Rh
0.1759 0.3518 0.0992 Rh
```

Output
The calculation puts the offset from the most stable computed form at 0.024 eV per atom.

---

(8)
Below is a relaxed Ba6NaRh2 crystal, with properties calculated at the PBE level.

```
Ba6NaRh2
1.0
-6.7753 3.1307 -3.5100
-7.4598 -2.2141 2.7342
-4.6453 5.9321 4.5683
Rh Ba Na
2 6 1
direct
0.2906 0.2906 0.1283 Rh
0.4756 0.4757 0.5731 Rh
0.6922 0.1484 0.8537 Ba
0.2511 0.8754 0.3386 Ba
0.8754 0.5348 0.3386 Ba
0.5349 0.2512 0.3386 Ba
0.3058 0.6922 0.8536 Ba
0.1484 0.3058 0.8537 Ba
0.7604 0.7604 0.7189 Na
```

Output
The calculation puts the offset from the most stable computed form at 0.000 eV per atom.

---

no.,spin magnetization (μB/f.u.),ΔH_f (0 K) (meV per atom)
1,0.00,-49
2,0.00,-63
3,0.00,-136
4,0.00,-67
5,0.00,-66
6,0.00,-88
7,0.00,-80
8,0.00,-104